## ErPaIrRh (GGA-PBE)

Data for crystalline ErPaIrRh at its relaxed geometry.

Lattice parameters (Å, degrees): 4.2309 5.5780 5.5780 39.45 90.00 90.00
Closest atoms and distances in Å follow each position.
Sites, in units of the cell vectors:
Er 0.0000 0.0000 0.0000  3 Ir 2.84-3.06, 4 Rh 2.86
Pa 0.5000 0.7196 0.7196  1 Rh 2.71, 4 Ir 2.88
Ir 0.0000 0.2700 0.2700  3 Er 2.84-3.06, 4 Pa 2.88, 2 Rh 2.92
Rh 0.5000 0.4618 0.4618  1 Pa 2.71, 4 Er 2.86, 2 Ir 2.92

E in eV/cell: -33.92
ΔE_f in eV/atom: -0.91
Crystal system: orthorhombic
Total magnetic moment in μB per formula unit: 0.00
ΔE to the lowest computed polymorph in kJ per mole of atoms: 0.0
SG: Amm2 (38)


## ErPaIrS (GGA-PBE)

Data for crystalline ErPaIrS at its relaxed geometry.

Lattice parameters (Å, degrees): 7.4362 7.4362 7.4362 30.22 30.22 30.22
Closest atoms and distances in Å follow each position.
Sites, in units of the cell vectors:
Er 0.0000 0.0000 0.0000  3 Ir 2.85, 3 S 2.92
Pa 0.1782 0.1782 0.1782  3 Ir 2.71, 3 S 2.95
Ir 0.5835 0.5835 0.5835  3 Pa 2.71, 3 Er 2.85
S 0.7549 0.7549 0.7549  3 Er 2.92, 3 Pa 2.95

E in eV/cell: -31.73
Formation energy without anion corrections in eV/atom: -1.170
Crystal system: trigonal
Total magnetic moment in μB per formula unit: 0.00
SG: R3m (160)


## ErPa2Si3Ir4 (GGA-PBE)

Data for crystalline ErPa2Si3Ir4 at its relaxed geometry.

Lattice parameters (Å, degrees): 4.0260 4.0260 11.2794 90.00 90.00 90.00
Closest atoms and distances in Å follow each position.
Sites, in units of the cell vectors:
Er 0.0000 0.0000 0.0000  4 Ir 2.78, 4 Si 2.85
Pa 0.0000 0.5000 0.7263  8 Ir 3.08-3.25, 4 Si 3.09
Pa 0.5000 0.0000 0.2737  8 Ir 3.08-3.25, 4 Si 3.09
Si 0.0000 0.5000 0.3805  5 Ir 2.38-2.42
Si 0.5000 0.0000 0.6195  5 Ir 2.38-2.42
Si 0.5000 0.5000 0.0000  4 Ir 2.78, 4 Er 2.85
Ir 0.0000 0.0000 0.5000  4 Si 2.42
Ir 0.0000 0.5000 0.1695  1 Si 2.38
Ir 0.5000 0.0000 0.8305  1 Si 2.38
Ir 0.5000 0.5000 0.5000  4 Si 2.42

E in eV/cell: -84.28
Formation energy without anion corrections in eV/atom: -0.901
Crystal system: tetragonal
Total magnetic moment in μB per formula unit: 0.00
SG: P-4m2 (115)


## ErPaZnIr (GGA-PBE)

Data for crystalline ErPaZnIr at its relaxed geometry.

Lattice parameters (Å, degrees): 4.9276 4.9276 4.9276 60.00 60.00 60.00
Closest atoms and distances in Å follow each position.
Sites, in units of the cell vectors:
Er 0.0000 0.0000 0.0000  4 Ir 3.02, 4 Zn 3.02
Pa 0.5000 0.5000 0.5000  4 Ir 3.02, 4 Zn 3.02
Zn 0.2500 0.2500 0.2500  4 Pa 3.02, 4 Er 3.02
Ir 0.7500 0.7500 0.7500  4 Pa 3.02, 4 Er 3.02

E in eV/cell: -25.83
ΔE_f in eV/atom: -0.41
Crystal system: cubic
Total magnetic moment in μB per formula unit: 0.00
SG: F-43m (216)


## Er5Ir4Pb (GGA-PBE)

Data for crystalline Er5Ir4Pb at its relaxed geometry.

Lattice parameters (Å, degrees): 3.3180 3.3180 19.2477 90.00 90.00 90.00
Closest atoms and distances in Å follow each position.
Sites, in units of the cell vectors:
Er 0.0000 0.0000 0.0000  8 Ir 2.95
Er 0.0000 0.0000 0.1846  8 Ir 2.94-2.98
Er 0.0000 0.0000 0.3684  4 Ir 2.90
Er 0.0000 0.0000 0.6316  4 Ir 2.90
Er 0.0000 0.0000 0.8154  8 Ir 2.94-2.98
Ir 0.5000 0.5000 0.0925  8 Er 2.94-2.95
Ir 0.5000 0.5000 0.2800  8 Er 2.90-2.98
Ir 0.5000 0.5000 0.7200  8 Er 2.90-2.98
Ir 0.5000 0.5000 0.9075  8 Er 2.94-2.95
Pb 0.5000 0.5000 0.5000  4 Pb 3.32, 8 Er 3.45

E in eV/cell: -70.06
ΔE_f in eV/atom: -0.81
Crystal system: tetragonal
Total magnetic moment in μB per formula unit: 0.00
SG: P4/mmm (123)


## Er6Ir2Pb (GGA-PBE)

Data for crystalline Er6Ir2Pb at its relaxed geometry.

Lattice parameters (Å, degrees): 8.4856 8.4856 8.4856 113.16 110.75 104.63
Closest atoms and distances in Å follow each position.
Sites, in units of the cell vectors:
Er 0.0265 0.2380 0.7886  1 Ir 2.75
Er 0.1817 0.2879 0.4696  3 Ir 2.98-3.08, 1 Pb 3.21
Er 0.1817 0.7121 0.8938  3 Ir 2.98-3.08, 1 Pb 3.21
Er 0.3325 0.0229 0.6904  3 Ir 2.74-2.95
Er 0.3325 0.6420 0.3096  3 Ir 2.74-2.95
Er 0.4494 0.2380 0.2114  1 Ir 2.75
Er 0.5506 0.7620 0.7886  1 Ir 2.75
Er 0.6675 0.3580 0.6904  3 Ir 2.74-2.95
Er 0.6675 0.9771 0.3096  3 Ir 2.74-2.95
Er 0.8183 0.2879 0.1062  3 Ir 2.98-3.08, 1 Pb 3.21
Er 0.8183 0.7121 0.5304  3 Ir 2.98-3.08, 1 Pb 3.21
Er 0.9735 0.7620 0.2114  1 Ir 2.75
Ir 0.1323 0.6323 0.5000  6 Er 2.74-2.98, 1 Ir 2.75
Ir 0.3362 0.0000 0.3362  6 Er 2.75-2.95
Ir 0.6638 0.0000 0.6638  6 Er 2.75-2.95
Ir 0.8677 0.3677 0.5000  6 Er 2.74-2.98, 1 Ir 2.75
Pb 0.0000 0.0000 0.0000  8 Er 3.20-3.21, 2 Ir 3.24
Pb 0.5000 0.5000 0.0000  12 Er 3.38-3.65

E in eV/cell: -109.16
ΔE_f in eV/atom: -0.64
Crystal system: orthorhombic
Total magnetic moment in μB per formula unit: 0.00
SG: Immm (71)